(1)
The following is a DFT calculation (GGA-PBE) of a relaxed structure of Be2HgTe.

Lattice parameters (Å, degrees): 3.7328 3.7328 6.3658 72.25 72.25 60.52
Atoms (fractional coordinates):
Be  0.0030  0.0030  0.9975
Be  0.4970  0.4970  0.5025
Te  0.2500  0.2500  0.2500
Hg  0.7500  0.7500  0.7500

Summary:
The space group is C2/m (12). The energy relative to the lowest polymorph listed for this composition is 42 meV per atom.


(2)
The following is a DFT calculation (GGA-PBE) of a relaxed structure of Cu2AgSnBi.

Lattice parameters (Å, degrees): 4.8083 4.8083 6.0206 90.00 90.00 90.00
Atoms (fractional coordinates):
Sn  0.0000  0.0000  0.0000
Ag  0.5000  0.5000  0.5000
Cu  0.5000  0.0000  0.0000
Cu  0.0000  0.5000  0.0000
Bi  0.0000  0.0000  0.5000

Summary:
The space group is P4/mmm (123). The value obtained for the total energy is -3.05 eV per atom.


(3)
The following is a DFT calculation (GGA-PBE) of a relaxed structure of Mg2InAs.

Lattice parameters (Å, degrees): 4.2160 4.2160 6.7025 71.67 71.67 60.00
Atoms (fractional coordinates):
Mg  0.0687  0.0687  0.7938
In  0.5014  0.5014  0.4959
Mg  0.2676  0.2676  0.1973
As  0.6623  0.6623  0.0131

Summary:
The space group is R3m (160). The energy relative to the lowest polymorph listed for this composition is 0 meV per atom.


(4)
The following is a DFT calculation (GGA-PBE) of a relaxed structure of Na2ZrTl.

Lattice parameters (Å, degrees): 3.1971 3.1971 12.4442 82.62 82.62 60.00
Atoms (fractional coordinates):
Tl  0.5000  0.5000  0.5000
Na  0.0868  0.0868  0.7396
Zr  0.0000  0.0000  0.0000
Na  0.9132  0.9132  0.2604

Summary:
The space group is R-3m (166). The energy relative to the lowest polymorph listed for this composition is 0 meV per atom.


| no. | density of states at the Fermi level (states/eV/f.u.) |
| --- | --- |
| 1 | 0.9 |
| 2 | 2.2 |
| 3 | 0.8 |
| 4 | 3.3 |